KNiPS4: relaxed, PBEsol.

Summary:
Volume = 25.95 A^3/atom
E_form (uncorrected) = -613 meV/atom

Cell lengths 8.263, 8.263, 10.641 Å; angles 90.00, 90.00, 90.00 degrees
Space group P4_2/mnm (No. 136)
Asymmetric unit:
K: 0.000 0.500 0.250
Ni: 0.000 0.000 0.000
Ni: 0.000 0.000 0.500
P: 0.249 0.249 0.000
S: 0.003 0.737 0.500
S: 0.133 0.133 0.144